A plane-wave DFT calculation with PBE-GGA was carried out for a relaxed structure of TbGeSe2.

Unit cell a=4.0473 b=4.0473 c=8.9456 alpha=76.93 beta=76.93 gamma=60.00
Closest atoms and distances in Å follow each position.
Atoms (fractional coordinates):
Se: 0.8966 0.8966 0.3102  1 Ge 2.68, 3 Tb 2.85
Ge: 0.0000 0.0000 0.0000  2 Se 2.68
Tb: 0.5000 0.5000 0.5000  6 Se 2.85
Se: 0.1034 0.1034 0.6898  1 Ge 2.68, 3 Tb 2.85

E = -19.72 eV per cell
Space group = No. 166
N(E_F) = 1.60 states/eV/cell
Volume = 30.6 Å³ per atom